No. 1
Here is a relaxed structure of Ce2As3PdRh4 from Alexandria. Energies are from PBE.

Crystal system: tetragonal
D(E_F) in states/eV/atom: 0.58
Volume in A^3/atom: 18.2
E_form in meV/atom: -863
E in eV/atom: -6.905
Calculated density in g/cm3: 9.35
Total magnetic moment in μB/cell: 0.06
SG: P-4m2

Geometry as POSCAR:
```
Ce2As3PdRh4
1.0
4.003 0.000 0.000
0.000 4.003 0.000
0.000 0.000 11.344
As Rh Ce Pd
3 4 2 1
Cartesian
0.000 0.000 5.672 As
2.002 0.000 9.908 As
0.000 2.002 1.436 As
2.002 0.000 7.531 Rh
0.000 2.002 3.813 Rh
2.002 2.002 0.000 Rh
0.000 0.000 0.000 Rh
2.002 0.000 2.967 Ce
0.000 2.002 8.376 Ce
2.002 2.002 5.672 Pd
```

=====

No. 2
Here is a relaxed structure of Pm8Tl3In2 from Alexandria. Energies are from PBE.

Crystal system: orthorhombic
D(E_F) in states/eV/atom: 1.15
Volume in A^3/atom: 32.4
E_form in meV/atom: -158
E in eV/atom: -4.049
Calculated density in g/cm3: 7.89
Total magnetic moment in μB/cell: 0.70
SG: Cmmm

Geometry as POSCAR:
```
Pm8Tl3In2
1.0
-1.202 -1.994 -5.182
5.036 -7.407 1.682
-9.079 -0.081 2.138
Tl Pm In
3 8 2
Cartesian
1.629 -2.396 0.544 Tl
3.407 -5.011 1.138 Tl
-0.601 -0.997 -2.591 Tl
0.078 -5.111 1.948 Pm
-2.598 -2.799 -4.548 Pm
-6.673 -2.340 -0.665 Pm
1.428 -7.142 -0.697 Pm
-5.324 -4.371 -3.310 Pm
-2.647 -6.683 3.186 Pm
-0.681 -4.040 -1.402 Pm
-4.564 -5.442 0.040 Pm
-1.713 -6.795 -0.103 In
-3.532 -2.687 -1.260 In
```

=====

No. 3
Here is a relaxed structure of Nd8SmMg2 from Alexandria. Energies are from PBE.

Crystal system: monoclinic
D(E_F) in states/eV/atom: 1.41
Volume in A^3/atom: 33.2
E_form in meV/atom: 8
Energy above the most stable polymorph in this dataset in meV/atom: 0
E in eV/atom: -4.179
Calculated density in g/cm3: 6.15
Total magnetic moment in μB/cell: 0.00
SG: C2/m

Geometry as POSCAR:
```
Nd8SmMg2
1.0
-5.131 -1.247 -0.855
1.630 -1.065 -8.232
3.598 -6.743 4.980
Nd Mg Sm
8 2 1
Cartesian
1.304 -1.536 -5.585 Nd
-0.638 -4.368 -6.539 Nd
-1.604 -2.566 -3.366 Nd
1.701 -6.489 -0.741 Nd
0.629 -2.361 -0.333 Nd
0.734 -4.688 2.432 Nd
-0.533 -6.695 -3.774 Nd
-1.207 -7.519 1.478 Nd
1.493 -3.991 -3.138 Mg
-1.396 -5.065 -0.969 Mg
-2.566 -0.624 -0.428 Sm
```

=====

Q: Number 3 is which compound?
A: Nd8SmMg2

=====

Q: Which of these has the highest E_form?
A: Nd8SmMg2